## a
Below is a geometry-optimized Sr3Tl5Cd structure, with properties calculated at the PBE level.

Cell lengths 9.704, 9.704, 6.758 Å; angles 90.00, 90.00, 90.00 degrees
Space group P4/mbm (No. 127)
Symmetry-distinct sites (fractional):
Sr: 0.000 0.000 0.000 x2
Sr: 0.128 0.372 0.500 x4
Tl: 0.000 0.000 0.500 x2
Tl: 0.184 0.684 0.231 x8
Cd: 0.000 0.500 0.000 x2

Output
- M_tot: 0.00 Bohr magnetons per cell

## b
Below is a geometry-optimized Sr3Tl5Cd structure, with properties calculated at the PBE level.

Cell lengths 9.709, 9.709, 13.160 Å; angles 90.00, 90.00, 90.00 degrees
Space group I4/mcm (No. 140)
Symmetry-distinct sites (fractional):
Sr: 0.000 0.000 0.250 x4
Sr: 0.130 0.370 0.000 x8
Tl: 0.000 0.000 0.000 x4
Tl: 0.185 0.315 0.350 x16
Cd: 0.000 0.500 0.250 x4

Output
- M_tot: 0.00 Bohr magnetons per cell

What should be chosen as the most stable of them? Choose b.

## a
Below is a geometry-optimized SrTl3Cd2 structure, with properties calculated at the PBE level.

Cell lengths 16.212, 6.863, 6.606 Å; angles 90.00, 90.00, 90.00 degrees
Space group Cmcm (No. 63)
Symmetry-distinct sites (fractional):
Sr: 0.000 0.194 0.250 x4
Tl: 0.000 0.312 0.750 x4
Tl: 0.188 0.072 0.750 x8
Cd: 0.150 0.500 0.000 x8

Output
- M_tot: 0.00 Bohr magnetons per cell

## b
Below is a geometry-optimized SrTl3Cd2 structure, with properties calculated at the PBE level.

Cell lengths 7.0162, 7.0162, 24.6465 Å; angles 90.00, 90.00, 120.00 degrees
Space group R-3m (No. 166, hexagonal axes)
Symmetry-distinct sites (fractional):
Sr: 0.0000 0.0000 0.2146 x6
Tl: 0.0096 0.5048 0.2319 x18
Cd: 0.0000 0.0000 0.0000 x3
Cd: 0.0000 0.5000 0.0000 x9

Output
- M_tot: 0.00 Bohr magnetons per cell

What should be chosen as the most stable of them? Choose b.

## a
Below is a geometry-optimized SrTlCd3 structure, with properties calculated at the PBE level.

Cell lengths 13.211, 6.589, 6.593 Å; angles 90.00, 90.00, 90.00 degrees
Space group Pnna (No. 52)
Symmetry-distinct sites (fractional):
Sr: 0.250 0.000 0.011 x4
Tl: 0.008 0.250 0.250 x4
Cd: 0.006 0.750 0.250 x4
Cd: 0.144 0.503 0.984 x8

Output
- M_tot: 0.00 Bohr magnetons per cell

## b
Below is a geometry-optimized SrTlCd3 structure, with properties calculated at the PBE level.

Cell lengths 5.626, 5.626, 5.626 Å; angles 90.00, 90.00, 90.00 degrees
Space group Pm-3m (No. 221)
Symmetry-distinct sites (fractional):
Sr: 0.000 0.000 0.000 x1
Tl: 0.500 0.500 0.500 x1
Cd: 0.000 0.500 0.500 x3

Output
- M_tot: 0.00 Bohr magnetons per cell

## c
Below is a geometry-optimized SrTlCd3 structure, with properties calculated at the PBE level.

Cell lengths 5.458, 5.458, 25.308 Å; angles 90.00, 90.00, 90.00 degrees
Space group I-4m2 (No. 119)
Symmetry-distinct sites (fractional):
Sr: 0.000 0.000 0.000 x2
Sr: 0.000 0.500 0.250 x2
Tl: 0.000 0.000 0.337 x4
Cd: 0.000 0.250 0.124 x8
Cd: 0.000 0.500 0.597 x4

Output
- M_tot: 0.00 Bohr magnetons per cell

## d
Below is a geometry-optimized SrTlCd3 structure, with properties calculated at the PBE level.

Cell lengths 6.268, 6.268, 6.268 Å; angles 90.00, 90.00, 90.00 degrees
Space group Pm-3m (No. 221)
Symmetry-distinct sites (fractional):
Sr: 0.000 0.000 0.000 x1
Tl: 0.500 0.500 0.500 x1
Cd: 0.000 0.000 0.500 x3

Output
- M_tot: 0.00 Bohr magnetons per cell

What should be chosen as the most stable of them? Choose a.

## a
Below is a geometry-optimized Sr8TlCd2 structure, with properties calculated at the PBE level.

Cell lengths 5.730, 9.797, 16.483 Å; angles 90.00, 90.00, 90.00 degrees
Space group Immm (No. 71)
Symmetry-distinct sites (fractional):
Sr: 0.000 0.000 0.133 x4
Sr: 0.000 0.218 0.338 x8
Sr: 0.000 0.318 0.000 x4
Tl: 0.000 0.500 0.500 x2
Cd: 0.000 0.500 0.193 x4

Output
- M_tot: 0.00 Bohr magnetons per cell

## b
Below is a geometry-optimized Sr8TlCd2 structure, with properties calculated at the PBE level.

Cell lengths 20.547, 5.826, 8.249 Å; angles 90.00, 109.39, 90.00 degrees
Space group C2/m (No. 12)
Symmetry-distinct sites (fractional):
Sr: 0.030 0.000 0.292 x4
Sr: 0.094 0.500 0.950 x4
Sr: 0.169 0.500 0.463 x4
Sr: 0.201 0.000 0.811 x4
Tl: 0.000 0.500 0.500 x2
Cd: 0.181 0.000 0.201 x4

Output
- M_tot: 0.00 Bohr magnetons per cell

What should be chosen as the most stable of them? Choose b.

## a
Below is a geometry-optimized Sr2Tl3Cd2 structure, with properties calculated at the PBE level.

Cell lengths 12.141, 4.984, 7.460 Å; angles 90.00, 102.44, 90.00 degrees
Space group C2/m (No. 12)
Symmetry-distinct sites (fractional):
Sr: 0.118 0.000 0.319 x4
Tl: 0.000 0.500 0.000 x2
Tl: 0.206 0.000 0.856 x4
Cd: 0.096 0.500 0.655 x4

Output
- M_tot: 0.00 Bohr magnetons per cell

## b
Below is a geometry-optimized Sr2Tl3Cd2 structure, with properties calculated at the PBE level.

Cell lengths 4.773, 22.238, 8.319 Å; angles 90.00, 90.00, 90.00 degrees
Space group Cmcm (No. 63)
Symmetry-distinct sites (fractional):
Sr: 0.000 0.059 0.250 x4
Sr: 0.000 0.158 0.750 x4
Tl: 0.000 0.229 0.250 x4
Tl: 0.000 0.439 0.070 x8
Cd: 0.000 0.314 0.560 x8

Output
- M_tot: 0.00 Bohr magnetons per cell

What should be chosen as the most stable of them? Choose a.

## a
Below is a geometry-optimized Sr4TlCd structure, with properties calculated at the PBE level.

Cell lengths 10.323, 10.323, 10.323 Å; angles 90.00, 90.00, 90.00 degrees
Space group F-43m (No. 216)
Symmetry-distinct sites (fractional):
Sr: 0.125 0.125 0.125 x16
Tl: 0.250 0.250 0.750 x4
Cd: 0.000 0.000 0.500 x4

Output
- M_tot: 0.00 Bohr magnetons per cell

## b
Below is a geometry-optimized Sr4TlCd structure, with properties calculated at the PBE level.

Cell lengths 4.134, 4.134, 14.320 Å; angles 90.00, 90.00, 90.00 degrees
Space group P4/mmm (No. 123)
Symmetry-distinct sites (fractional):
Sr: 0.000 0.000 0.136 x2
Sr: 0.500 0.500 0.364 x2
Tl: 0.000 0.000 0.500 x1
Cd: 0.500 0.500 0.000 x1

Output
- M_tot: 0.00 Bohr magnetons per cell

What should be chosen as the most stable of them? Choose b.